Run one
# PBE Tc3AuS, relaxed
data_Tc3AuS
_chemical_formula_sum 'Tc3 Au1 S1'
_space_group_name_H-M_alt 'P m -3 m'
_space_group_IT_number 221
_space_group_name_Hall '-P 4 2 3'
_cell_length_a 5.0907
_cell_length_b 5.0907
_cell_length_c 5.0907
_cell_angle_alpha 90.00
_cell_angle_beta 90.00
_cell_angle_gamma 90.00
loop_
_atom_site_label
_atom_site_type_symbol
_atom_site_fract_x
_atom_site_fract_y
_atom_site_fract_z
Tc1 Tc 0.0000 0.0000 0.5000
Au1 Au 0.0000 0.0000 0.0000
S1 S 0.5000 0.5000 0.5000
# V   131.9 Å³/f.u.
# Size of the total moment   11.98 μB/f.u.

Run two
# PBE Tc3AuS, relaxed
data_Tc3AuS
_chemical_formula_sum 'Tc3 Au1 S1'
_space_group_name_H-M_alt 'P m -3 m'
_space_group_IT_number 221
_space_group_name_Hall '-P 4 2 3'
_cell_length_a 4.3476
_cell_length_b 4.3476
_cell_length_c 4.3476
_cell_angle_alpha 90.00
_cell_angle_beta 90.00
_cell_angle_gamma 90.00
loop_
_atom_site_label
_atom_site_type_symbol
_atom_site_fract_x
_atom_site_fract_y
_atom_site_fract_z
Tc1 Tc 0.0000 0.0000 0.5000
Au1 Au 0.5000 0.5000 0.5000
S1 S 0.0000 0.0000 0.0000
# V   82.2 Å³/f.u.
# Size of the total moment   0.00 μB/f.u.

Preferred: run two; penalty for the next structure: 177.6 kJ/mol of atoms.